Entry from the Alexandria database: Zr2Zn after structural relaxation (PBEsol).

Lattice parameters (Å, degrees): 7.1001 7.1001 4.3628 90.00 90.00 148.38
Element x y z (fractional)
Zr (0.0771, 0.9229, 0.7500)
Zr (0.2369, 0.7631, 0.2500)
Zr (0.7631, 0.2369, 0.7500)
Zr (0.9229, 0.0771, 0.2500)
Zn (0.4157, 0.5843, 0.7500)
Zn (0.5843, 0.4157, 0.2500)

Values from the calculation:
Crystal system = orthorhombic
Final energy = -6.749 eV/atom
Energy of formation = -0.5 eV/f.u.
Total magnetization = 0.00 μB/f.u.
Density = 7.14 g cm⁻³